(1)
Li3CdO4 | GGA-PBE | optimized geometry

a b c (Å): 5.1082 12.0212 5.2446
angles (deg): 90.00 109.63 90.00
Space group P2 (No. 3)
Symmetry-distinct sites (fractional):
Li 0.0000 0.9997 0.0000 (multiplicity 1)
Li 0.0000 0.1102 0.5000 (multiplicity 1)
Li 0.0000 0.2300 0.0000 (multiplicity 1)
Li 0.0000 0.3751 0.5000 (multiplicity 1)
Li 0.0000 0.5146 0.0000 (multiplicity 1)
Li 0.0000 0.6401 0.5000 (multiplicity 1)
Li 0.0000 0.7671 0.0000 (multiplicity 1)
Li 0.0000 0.8861 0.5000 (multiplicity 1)
Li 0.5000 0.0000 0.5000 (multiplicity 1)
Li 0.5000 0.1118 0.0000 (multiplicity 1)
Li 0.5000 0.6388 0.0000 (multiplicity 1)
Li 0.5000 0.8846 0.0000 (multiplicity 1)
Cd 0.5000 0.2363 0.5000 (multiplicity 1)
Cd 0.5000 0.3752 0.0000 (multiplicity 1)
Cd 0.5000 0.5087 0.5000 (multiplicity 1)
Cd 0.5000 0.7640 0.5000 (multiplicity 1)
O 0.2277 0.3683 0.2570 (multiplicity 2)
O 0.2350 0.6399 0.2395 (multiplicity 2)
O 0.2367 0.5052 0.7569 (multiplicity 2)
O 0.2425 0.2434 0.7541 (multiplicity 2)
O 0.2431 0.1131 0.2500 (multiplicity 2)
O 0.2436 0.0003 0.7568 (multiplicity 2)
O 0.2471 0.8862 0.2481 (multiplicity 2)
O 0.2528 0.7596 0.7455 (multiplicity 2)

crystal system	monoclinic
calculated volume	9.5	Å³/atom
E above lowest polymorph	0.16	eV/f.u.

(2)
Li3CdO4 | GGA-PBE | optimized geometry

a b c (Å): 5.1111 5.9918 5.3162
angles (deg): 90.00 110.46 90.00
Space group P2/c (No. 13)
Symmetry-distinct sites (fractional):
Li 0.0000 0.1118 0.2500 (multiplicity 2)
Li 0.0000 0.3593 0.7500 (multiplicity 2)
Li 0.5000 0.1199 0.7500 (multiplicity 2)
Cd 0.5000 0.3635 0.2500 (multiplicity 2)
O 0.2400 0.1183 0.0082 (multiplicity 4)
O 0.2423 0.3793 0.5064 (multiplicity 4)

crystal system	monoclinic
calculated volume	9.5	Å³/atom
E above lowest polymorph	0.00	eV/f.u.

(3)
Li2CdP4O12 | GGA-PBE | optimized geometry

a b c (Å): 9.3990 9.4426 9.8780
angles (deg): 90.00 90.00 90.00
Space group Pnma (No. 62)
Symmetry-distinct sites (fractional):
Li 0.0052 0.1067 0.1631 (multiplicity 8)
Cd 0.0125 0.2500 0.8122 (multiplicity 4)
P 0.1876 0.7500 0.5998 (multiplicity 4)
P 0.2041 0.5309 0.3841 (multiplicity 8)
P 0.2283 0.2500 0.5116 (multiplicity 4)
O 0.0937 0.7500 0.7212 (multiplicity 4)
O 0.1118 0.7500 0.9966 (multiplicity 4)
O 0.1185 0.5583 0.2586 (multiplicity 8)
O 0.1367 0.0467 0.8838 (multiplicity 8)
O 0.1371 0.6181 0.5079 (multiplicity 8)
O 0.1543 0.2500 0.1156 (multiplicity 4)
O 0.1608 0.1256 0.4244 (multiplicity 8)
O 0.1680 0.2500 0.6498 (multiplicity 4)

crystal system	orthorhombic
calculated volume	11.5	Å³/atom

(4)
LiCdPO | GGA-PBE | optimized geometry

a b c (Å): 3.6059 7.0480 4.6083
angles (deg): 90.00 90.00 90.00
Space group Pmc2_1 (No. 26)
Symmetry-distinct sites (fractional):
Li 0.0000 0.1948 0.0000 (multiplicity 2)
Cd 0.5000 0.1830 0.4993 (multiplicity 2)
P 0.0000 0.4507 0.4903 (multiplicity 2)
O 0.5000 0.1277 0.9966 (multiplicity 2)

crystal system	orthorhombic
calculated volume	14.6	Å³/atom
E above lowest polymorph	0.00	eV/f.u.

(5)
LiCdPO | GGA-PBE | optimized geometry

a b c (Å): 4.0368 4.0368 7.1334
angles (deg): 90.00 90.00 90.00
Space group P4/nmm (No. 129, origin choice 2)
Symmetry-distinct sites (fractional):
Li 0.2500 0.2500 0.0840 (multiplicity 2)
Cd 0.2500 0.7500 0.5000 (multiplicity 2)
P 0.2500 0.2500 0.7508 (multiplicity 2)
O 0.2500 0.7500 0.0000 (multiplicity 2)

crystal system	tetragonal
calculated volume	14.5	Å³/atom
E above lowest polymorph	2.16	eV/f.u.

(6)
LiCdPO | GGA-PBE | optimized geometry

a b c (Å): 4.6932 4.6932 5.2025
angles (deg): 90.00 90.00 90.00
Space group P4/nmm (No. 129, origin choice 2)
Symmetry-distinct sites (fractional):
Li 0.2500 0.7500 0.0000 (multiplicity 2)
Cd 0.2500 0.2500 0.4946 (multiplicity 2)
P 0.2500 0.2500 0.9944 (multiplicity 2)
O 0.2500 0.7500 0.5000 (multiplicity 2)

crystal system	tetragonal
calculated volume	14.3	Å³/atom
E above lowest polymorph	1.71	eV/f.u.

(7)
LiCdPO | GGA-PBE | optimized geometry

a b c (Å): 4.0190 4.0190 7.2448
angles (deg): 90.00 90.00 90.00
Space group P4/nmm (No. 129, origin choice 2)
Symmetry-distinct sites (fractional):
Li 0.2500 0.2500 0.0796 (multiplicity 2)
Cd 0.2500 0.7500 0.5000 (multiplicity 2)
P 0.2500 0.2500 0.7507 (multiplicity 2)
O 0.2500 0.7500 0.0000 (multiplicity 2)

crystal system	tetragonal
calculated volume	14.6	Å³/atom
E above lowest polymorph	2.16	eV/f.u.

(8)
LiCdPO | GGA-PBE | optimized geometry

a b c (Å): 3.0107 6.9915 5.5098
angles (deg): 90.00 90.00 90.00
Space group Pmc2_1 (No. 26)
Symmetry-distinct sites (fractional):
Li 0.0000 0.1893 0.0000 (multiplicity 2)
Cd 0.5000 0.1566 0.4977 (multiplicity 2)
P 0.5000 0.4881 0.9084 (multiplicity 2)
O 0.0000 0.0038 0.7455 (multiplicity 2)

crystal system	orthorhombic
calculated volume	14.5	Å³/atom
E above lowest polymorph	0.18	eV/f.u.

no.,raw total energy (eV per atom)
1,-4.297
2,-4.317
3,-6.634
4,-3.996
5,-3.456
6,-3.568
7,-3.456
8,-3.952